The following is a DFT calculation (PBE) of a geometry-optimized Li3CoSn structure.

Formation enthalpy at 0 K   0.46 eV per atom
Crystal system   cubic
Space-group type   Pm-3m

```
Li3CoSn
1.0
-3.678 -2.101 1.020
2.080 -2.082 3.212
-1.062 3.199 2.761
Li Sn Co
3 1 1
direct
0.000 0.000 0.500 Li
0.000 0.500 0.000 Li
0.500 0.000 0.000 Li
0.500 0.500 0.500 Sn
0.000 0.000 0.000 Co
```

***

The following is a DFT calculation (PBE) of a geometry-optimized Li7InAu3 structure.

Formation enthalpy at 0 K   -0.38 eV per atom
Crystal system   orthorhombic
Space-group type   Cmcm

```
Li7InAu3
1.0
-0.013 2.411 1.632
-10.816 -3.098 1.895
3.521 -6.449 9.551
In Li Au
2 14 6
direct
0.024 0.049 0.750 In
0.976 0.951 0.250 In
0.436 0.872 0.878 Li
0.601 0.202 0.599 Li
0.723 0.447 0.901 Li
0.601 0.202 0.901 Li
0.564 0.128 0.378 Li
0.399 0.798 0.099 Li
0.564 0.128 0.122 Li
0.315 0.630 0.750 Li
0.436 0.872 0.622 Li
0.277 0.553 0.401 Li
0.723 0.447 0.599 Li
0.399 0.798 0.401 Li
0.685 0.370 0.250 Li
0.277 0.553 0.099 Li
0.160 0.319 0.440 Au
0.163 0.325 0.750 Au
0.840 0.681 0.560 Au
0.837 0.675 0.250 Au
0.840 0.681 0.940 Au
0.160 0.319 0.060 Au
```

***

The following is a DFT calculation (PBE) of a geometry-optimized CdHgBr structure.

Crystal system   tetragonal
Uncorrected formation energy   -0.193 eV/atom
Space-group type   I4mm

```
CdHgBr
1.0
6.662 -0.003 0.000
4.667 4.754 0.000
-5.665 -2.375 2.579
Cd Hg Br
1 1 1
direct
0.335 0.335 0.000 Cd
0.690 0.690 0.000 Hg
0.975 0.975 0.000 Br
```

***

The following is a DFT calculation (PBE) of a geometry-optimized NdSm3Tl4 structure.

Formation enthalpy at 0 K   -0.39 eV per atom
Crystal system   tetragonal
Space-group type   P4/mmm

```
NdSm3Tl4
1.0
3.875 0.000 0.000
0.000 3.875 0.000
0.000 0.000 15.489
Sm Tl Nd
3 4 1
direct
0.500 0.500 0.500 Sm
0.500 0.500 0.748 Sm
0.500 0.500 0.252 Sm
0.000 0.000 0.376 Tl
0.000 0.000 0.872 Tl
0.000 0.000 0.128 Tl
0.000 0.000 0.624 Tl
0.500 0.500 0.000 Nd
```

***

The following is a DFT calculation (PBE) of a geometry-optimized CsBiRuAu2 structure.

Formation enthalpy at 0 K   2.13 eV per atom
Crystal system   tetragonal
Space-group type   P4/mmm

```
CsBiRuAu2
1.0
5.676 0.000 0.000
0.000 6.562 0.000
0.000 0.000 5.676
Cs Ru Au Bi
1 1 2 1
direct
0.000 0.000 0.000 Cs
0.500 0.500 0.500 Ru
0.500 0.000 0.000 Au
0.000 0.000 0.500 Au
0.000 0.500 0.000 Bi
```

***

The following is a DFT calculation (PBE) of a geometry-optimized BaBeSb4 structure.

Crystal system   cubic
Uncorrected formation energy   0.165 eV/atom
Space-group type   F-43m

```
BaBeSb4
1.0
0.000 4.516 4.516
4.516 0.000 4.516
4.516 4.516 0.000
Sb Be Ba
4 1 1
direct
0.883 0.372 0.372 Sb
0.372 0.372 0.372 Sb
0.372 0.372 0.883 Sb
0.372 0.883 0.372 Sb
0.000 0.000 0.000 Be
0.750 0.750 0.750 Ba
```

***

The following is a DFT calculation (PBE) of a geometry-optimized FeAsCBr2 structure.

Crystal system   tetragonal
Uncorrected formation energy   1.572 eV/atom
Space-group type   P4/mmm

```
FeAsCBr2
1.0
-2.583 2.686 -3.433
-4.358 -1.686 1.960
-0.094 3.585 2.875
C Br Fe As
1 2 1 1
direct
0.500 0.500 0.500 C
0.000 0.500 0.000 Br
0.500 0.000 0.000 Br
0.000 0.000 0.000 Fe
0.000 0.000 0.500 As
```

***

The following is a DFT calculation (PBE) of a geometry-optimized Li2Pr3Ni7 structure.

Formation enthalpy at 0 K   -0.22 eV per atom
Crystal system   trigonal
Space-group type   R-3m

```
Li2Pr3Ni7
1.0
-1.492 -2.978 -3.922
1.444 -4.935 -0.178
-6.792 -4.772 2.831
Pr Ni Li
3 7 2
direct
0.862 0.862 0.415 Pr
0.000 0.000 0.000 Pr
0.138 0.138 0.585 Pr
0.083 0.583 0.752 Ni
0.583 0.583 0.752 Ni
0.417 0.417 0.248 Ni
0.583 0.083 0.752 Ni
0.500 0.500 0.500 Ni
0.417 0.917 0.248 Ni
0.917 0.417 0.248 Ni
0.334 0.334 0.998 Li
0.666 0.666 0.002 Li
```

***

The following is a DFT calculation (PBE) of a geometry-optimized Rb2ZnHgBr6 structure.

Crystal system   tetragonal
Uncorrected formation energy   -1.038 eV/atom
Space-group type   I4/mmm

```
Rb2ZnHgBr6
1.0
7.858 0.000 0.000
0.000 7.858 0.000
3.929 3.929 5.537
Br Rb Hg Zn
6 2 1 1
direct
0.246 0.754 0.000 Br
0.282 0.282 0.436 Br
0.246 0.246 0.000 Br
0.718 0.718 0.564 Br
0.754 0.246 0.000 Br
0.754 0.754 0.000 Br
0.250 0.750 0.500 Rb
0.750 0.250 0.500 Rb
0.000 0.000 0.000 Hg
0.500 0.500 0.000 Zn
```

***

The following is a DFT calculation (PBE) of a geometry-optimized AlTcS3 structure.

Crystal system   cubic
Uncorrected formation energy   0.467 eV/atom
Space-group type   Pm-3m

```
AlTcS3
1.0
4.596 0.000 0.000
0.000 4.596 0.000
0.000 0.000 4.596
S Al Tc
3 1 1
direct
0.000 0.000 0.500 S
0.500 0.000 0.000 S
0.000 0.500 0.000 S
0.000 0.000 0.000 Al
0.500 0.500 0.500 Tc
```

***

The following is a DFT calculation (PBE) of a geometry-optimized ScAl3Pb structure.

Formation enthalpy at 0 K   0.75 eV per atom
Crystal system   cubic
Space-group type   Pm-3m

```
ScAl3Pb
1.0
5.250 0.000 0.000
0.000 5.250 0.000
0.000 0.000 5.250
Al Sc Pb
3 1 1
direct
0.500 0.000 0.000 Al
0.000 0.000 0.500 Al
0.000 0.500 0.000 Al
0.000 0.000 0.000 Sc
0.500 0.500 0.500 Pb
```

***

The following is a DFT calculation (PBE) of a geometry-optimized Zr2Ta2Ru structure.

Formation enthalpy at 0 K   -0.22 eV per atom
Crystal system   tetragonal
Space-group type   I4/mmm

```
Zr2Ta2Ru
1.0
-0.198 2.544 2.144
-2.000 1.625 -2.113
-5.661 -5.676 3.621
Zr Ru Ta
2 1 2
direct
0.405 0.405 0.809 Zr
0.595 0.595 0.191 Zr
0.000 0.000 0.000 Ru
0.794 0.794 0.588 Ta
0.206 0.206 0.412 Ta
```

***

Calculated volume list, top to bottom, in Å³/cell: 82.70, 397.05, 81.74, 232.61, 211.42, 184.22, 118.00, 189.20, 341.86, 97.07, 144.71, 94.14
Raw total energy list, top to bottom, in Ha/atom: -0.10712, -0.10074, -0.04248, -0.14459, -0.07279, -0.12953, -0.13100, -0.18766, -0.08793, -0.17754, -0.12864, -0.37606